No. 1
## Al5Ni3 (PBE)

Data for a relaxed Al5Ni3 crystal.

Cell and atoms, written as CIF:
```
data_Al5Ni3
_chemical_formula_sum 'Al10 Ni6'
_cell_length_a 6.883
_cell_length_b 7.823
_cell_length_c 3.873
_cell_angle_alpha 90.00
_cell_angle_beta 90.00
_cell_angle_gamma 90.00
_symmetry_space_group_name_H-M 'C m m m'
_symmetry_Int_Tables_number 65
_symmetry_space_group_name_Hall '-C 2 2'
loop_
_atom_site_label
_atom_site_type_symbol
_atom_site_fract_x
_atom_site_fract_y
_atom_site_fract_z
_atom_site_occupancy
Al1 Al 0.000 0.000 0.000 1
Al2 Al 0.217 0.500 0.500 1
Al3 Al 0.250 0.250 0.000 1
Ni1 Ni 0.000 0.228 0.500 1
Ni2 Ni 0.000 0.500 0.000 1
```

Computed properties:
polymorph energy (0 for the lowest one)	54	meV/atom
crystal system	orthorhombic
theoretical density	5.0	g/cm3


No. 2
## Al4Ni3 (PBE)

Data for a relaxed Al4Ni3 crystal.

Cell and atoms, written as CIF:
```
data_Al4Ni3
_chemical_formula_sum 'Al8 Ni6'
_cell_length_a 3.110
_cell_length_b 3.110
_cell_length_c 18.808
_cell_angle_alpha 90.00
_cell_angle_beta 90.00
_cell_angle_gamma 90.00
_symmetry_space_group_name_H-M 'I 4/m m m'
_symmetry_Int_Tables_number 139
_symmetry_space_group_name_Hall '-I 4 2'
loop_
_atom_site_label
_atom_site_type_symbol
_atom_site_fract_x
_atom_site_fract_y
_atom_site_fract_z
_atom_site_occupancy
Al1 Al 0.000 0.000 0.070 1
Al2 Al 0.000 0.000 0.343 1
Ni1 Ni 0.000 0.000 0.209 1
Ni2 Ni 0.000 0.000 0.500 1
```

Computed properties:
polymorph energy (0 for the lowest one)	185	meV/atom
crystal system	tetragonal
theoretical density	5.2	g/cm3